# 1
VASP calculation (PBE) on a relaxed structure of ZrAgIr.

Geometry as POSCAR:
```
ZrAgIr
1.0
4.746 0.000 0.000
-2.373 4.110 0.000
0.000 0.000 5.551
Zr Ag Ir
2 2 2
direct
0.667 0.333 0.202
0.333 0.667 0.798
0.000 0.000 0.500
0.000 0.000 0.000
0.333 0.667 0.288
0.667 0.333 0.712
```

Output
Calculated density = 12.0 g/cm3
E above lowest polymorph = 0.0 meV/atom
Energy relative to the elements = -445 meV/atom
Space-group type = P-3m1

***

# 2
VASP calculation (PBE) on a relaxed structure of Ca3HgMo.

Geometry as POSCAR:
```
Ca3HgMo
1.0
-2.085 4.797 1.633
-3.756 -0.277 -3.980
-3.401 -2.634 3.393
Ca Mo Hg
3 1 1
direct
0.500 0.000 0.000
0.000 0.000 0.500
0.000 0.500 0.000
0.000 0.000 0.000
0.500 0.500 0.500
```

Output
Calculated density = 4.2 g/cm3
E above lowest polymorph = 0.0 meV/atom
Energy relative to the elements = 675 meV/atom
Space-group type = Pm-3m

***

# 3
VASP calculation (PBE) on a relaxed structure of BaNaI2N.

Geometry as POSCAR:
```
BaNaI2N
1.0
6.833 0.000 0.000
0.000 6.833 0.000
0.000 0.000 5.199
Ba I N Na
1 2 1 1
direct
0.000 0.000 0.000
0.000 0.500 0.000
0.500 0.000 0.000
0.000 0.000 0.500
0.500 0.500 0.500
```

Output
Calculated density = 2.9 g/cm3
E above lowest polymorph = 0.0 meV/atom
ΔE_f (raw) = -293 meV/atom
Space-group type = P4/mmm

***

# 4
VASP calculation (PBE) on a relaxed structure of KRuRh.

Geometry as POSCAR:
```
KRuRh
1.0
6.538 0.000 0.000
0.562 4.713 0.000
-1.739 -1.332 4.242
Ru Rh K
2 2 2
direct
0.070 0.750 0.535
0.930 0.250 0.465
0.929 0.750 0.964
0.071 0.250 0.036
0.496 0.248 0.750
0.504 0.752 0.250
```

Output
Calculated density = 6.2 g/cm3
E above lowest polymorph = 74.9 meV/atom
Energy relative to the elements = 559 meV/atom
Space-group type = P-1

***

# 5
VASP calculation (PBE) on a relaxed structure of CsCdSbTe3.

Geometry as POSCAR:
```
CsCdSbTe3
1.0
-4.286 -0.092 1.650
-1.962 -8.333 -5.559
3.935 -2.942 10.059
Te Cd Cs Sb
6 2 2 2
direct
0.250 0.128 0.881
0.750 0.467 0.148
0.250 0.533 0.852
0.250 0.786 0.456
0.750 0.872 0.119
0.750 0.214 0.544
0.250 0.085 0.616
0.750 0.915 0.384
0.250 0.212 0.253
0.750 0.788 0.747
0.750 0.333 0.876
0.250 0.667 0.124
```

Output
Calculated density = 5.0 g/cm3
ΔE_f (raw) = -529 meV/atom
Space-group type = P2_1/m

***

# 6
VASP calculation (PBE) on a relaxed structure of CuSF3.

Geometry as POSCAR:
```
CuSF3
1.0
-2.687 2.819 1.088
-2.100 -2.789 2.040
2.172 0.791 3.318
F Cu S
3 1 1
direct
0.000 0.000 0.500
0.000 0.500 0.000
0.500 0.000 0.000
0.000 0.000 0.000
0.500 0.500 0.500
```

Output
Calculated density = 3.8 g/cm3
E above lowest polymorph = 0.0 meV/atom
ΔE_f (raw) = -643 meV/atom
Space-group type = Pm-3m

***

# 7
VASP calculation (PBE) on a relaxed structure of Ho2GeBr.

Geometry as POSCAR:
```
Ho2GeBr
1.0
4.108 0.000 0.000
2.054 3.558 0.000
2.054 1.186 7.310
Ho Br Ge
2 1 1
direct
0.266 0.266 0.201
0.068 0.068 0.797
0.497 0.497 0.508
0.668 0.668 0.995
```

Output
Calculated density = 7.5 g/cm3
E above lowest polymorph = 42.2 meV/atom
ΔE_f (raw) = -1009 meV/atom
Space-group type = R3m

***

# 8
VASP calculation (PBE) on a relaxed structure of NdSc4Ag5.

Geometry as POSCAR:
```
NdSc4Ag5
1.0
-1.314 -0.974 3.053
3.203 -0.500 1.219
0.503 16.889 5.605
Ag Sc Nd
5 4 1
direct
0.500 0.500 0.878
0.500 0.500 0.500
0.500 0.500 0.122
0.500 0.500 0.308
0.500 0.500 0.692
0.000 0.000 0.212
0.000 0.000 0.404
0.000 0.000 0.788
0.000 0.000 0.596
0.000 0.000 0.000
```

Output
Calculated density = 6.7 g/cm3
Energy relative to the elements = -266 meV/atom
Space-group type = P4/mmm